P.
Density functional theory data (GGA-PBE) for an optimized crystal structure of YP2OF.

Calculated values
* symmetry: P4/mmm
* density: 3.999 g/cm³
* D(E_F): 3.3 states/eV per cell
* total magnetization: 0.40 μB/f.u.

a = 3.887 Å, b = 3.887 Å, c = 5.107 Å
α = 90.00°, β = 90.00°, γ = 90.00°
Last column: magnetic moment on the atom in μB.
Sites, in units of the cell vectors:
Y  0.500  0.500  0.500  0.00
P  0.000  0.500  0.000  0.04
P  0.500  0.000  0.000  0.04
O  0.000  0.000  0.500  0.21
F  0.000  0.000  0.000  0.00

Q.
Density functional theory data (GGA-PBE) for an optimized crystal structure of YP2OF.

Calculated values
* symmetry: P4/mmm
* density: 2.421 g/cm³
* D(E_F): 6.6 states/eV per cell
* total magnetization: 1.33 μB/f.u.

a = 5.493 Å, b = 5.493 Å, c = 4.225 Å
α = 90.00°, β = 90.00°, γ = 90.00°
Last column: magnetic moment on the atom in μB.
Sites, in units of the cell vectors:
Y  0.000  0.000  0.000  -0.01
P  0.000  0.500  0.000  0.29
P  0.500  0.000  0.000  0.29
O  0.000  0.000  0.500  -0.07
F  0.500  0.500  0.500  0.07

Stability check: which of them is least stable? Q.

P.
Density functional theory data (GGA-PBE) for an optimized crystal structure of PaO2F.

Calculated values
* symmetry: R3m
* density: 8.231 g/cm³
* D(E_F): 0.0 states/eV per cell
* total magnetization: 0.00 μB/f.u.

a = 3.752 Å, b = 3.752 Å, c = 5.145 Å
α = 68.61°, β = 68.61°, γ = 60.00°
Sites, in units of the cell vectors:
Pa  0.662  0.662  0.014
O  0.044  0.044  0.868
O  0.286  0.286  0.141
F  0.508  0.508  0.477

Q.
Density functional theory data (GGA-PBE) for an optimized crystal structure of PaO2F.

Calculated values
* symmetry: P3m1
* density: 8.039 g/cm³
* D(E_F): 0.0 states/eV per cell
* total magnetization: 0.00 μB/f.u.

a = 4.004 Å, b = 5.797 Å, c = 4.007 Å
α = 110.21°, β = 119.98°, γ = 46.32°
Sites, in units of the cell vectors:
Pa  0.424  0.090  0.221
O  0.822  0.025  0.888
O  0.922  0.592  0.221
F  0.946  0.235  0.554

Stability check: which of them is least stable? P.

P.
Density functional theory data (GGA-PBE) for an optimized crystal structure of PaO2F.

Calculated values
* symmetry: Fm-3m
* density: 11.202 g/cm³
* D(E_F): 0.0 states/eV per cell
* total magnetization: 0.00 μB/f.u.

a = 3.896 Å, b = 3.896 Å, c = 3.896 Å
α = 60.00°, β = 60.00°, γ = 60.00°
Sites, in units of the cell vectors:
Pa  0.500  0.500  0.500
O  0.250  0.250  0.250
O  0.750  0.750  0.750
F  0.000  0.000  0.000

Q.
Density functional theory data (GGA-PBE) for an optimized crystal structure of PaO2F.

Calculated values
* symmetry: I4_1/amd
* density: 6.081 g/cm³
* D(E_F): 0.0 states/eV per cell
* total magnetization: 0.00 μB/f.u.

a = 4.620 Å, b = 6.219 Å, c = 6.219 Å
α = 82.07°, β = 68.20°, γ = 68.20°
Sites, in units of the cell vectors:
Pa  0.500  0.000  0.000
Pa  0.250  0.500  0.500
O  0.375  0.750  0.250
O  0.375  0.250  0.750
O  0.875  0.750  0.750
O  0.375  0.250  0.250
F  0.000  0.000  0.000
F  0.750  0.500  0.500

R.
Density functional theory data (GGA-PBE) for an optimized crystal structure of PaO2F.

Calculated values
* symmetry: P4/mmm
* density: 10.938 g/cm³
* D(E_F): 0.8 states/eV per cell
* total magnetization: 0.05 μB/f.u.

a = 3.295 Å, b = 3.605 Å, c = 3.605 Å
α = 90.00°, β = 90.00°, γ = 90.00°
Last column: magnetic moment on the atom in μB.
Sites, in units of the cell vectors:
Pa  0.500  0.500  0.500  -0.06
O  0.000  0.000  0.500  0.01
O  0.000  0.500  0.000  0.01
F  0.500  0.000  0.000  0.00

Stability check: which of them is least stable? R.

P.
Density functional theory data (GGA-PBE) for an optimized crystal structure of Pb2OF.

Calculated values
* symmetry: I-42d
* density: 7.612 g/cm³
* D(E_F): 5.2 states/eV per cell
* total magnetization: 0.00 μB/f.u.

a = 5.877 Å, b = 5.877 Å, c = 7.036 Å
α = 65.32°, β = 65.32°, γ = 90.00°
Sites, in units of the cell vectors:
Pb  0.592  0.125  0.250
Pb  0.158  0.625  0.250
Pb  0.375  0.408  0.750
Pb  0.875  0.842  0.750
O  0.500  0.500  0.000
O  0.250  0.750  0.500
F  0.000  0.000  0.000
F  0.750  0.250  0.500

Q.
Density functional theory data (GGA-PBE) for an optimized crystal structure of Pb2OF.

Calculated values
* symmetry: Fm-3m
* density: 10.370 g/cm³
* D(E_F): 1.4 states/eV per cell
* total magnetization: 0.00 μB/f.u.

a = 4.669 Å, b = 4.669 Å, c = 4.669 Å
α = 60.00°, β = 60.00°, γ = 60.00°
Sites, in units of the cell vectors:
Pb  0.250  0.250  0.250
Pb  0.750  0.750  0.750
O  0.000  0.000  0.000
F  0.500  0.500  0.500

Stability check: which of them is least stable? Q.

P.
Density functional theory data (GGA-PBE) for an optimized crystal structure of Pb2OF.

Calculated values
* symmetry: C2/c
* density: 8.595 g/cm³
* D(E_F): 1.0 states/eV per cell
* total magnetization: 0.00 μB/f.u.

a = 5.660 Å, b = 6.495 Å, c = 10.525 Å
α = 103.29°, β = 100.29°, γ = 107.01°
Sites, in units of the cell vectors:
Pb  0.520  0.851  0.131
Pb  0.112  0.280  0.131
Pb  0.480  0.149  0.869
Pb  0.888  0.720  0.869
Pb  0.282  0.590  0.620
Pb  0.162  0.969  0.380
Pb  0.718  0.410  0.380
Pb  0.838  0.031  0.620
O  0.259  0.009  0.017
O  0.741  0.991  0.983
O  0.113  0.863  0.727
O  0.887  0.137  0.273
F  0.466  0.716  0.433
F  0.145  0.395  0.790
F  0.534  0.284  0.567
F  0.855  0.605  0.210

Q.
Density functional theory data (GGA-PBE) for an optimized crystal structure of Pb2OF.

Calculated values
* symmetry: R-3m
* density: 8.480 g/cm³
* D(E_F): 0.6 states/eV per cell
* total magnetization: 0.00 μB/f.u.

a = 3.584 Å, b = 3.584 Å, c = 8.177 Å
α = 77.34°, β = 77.34°, γ = 60.00°
Sites, in units of the cell vectors:
Pb  0.099  0.099  0.703
Pb  0.901  0.901  0.297
O  0.500  0.500  0.500
F  0.000  0.000  0.000

Stability check: which of them is least stable? Q.

P.
Density functional theory data (GGA-PBE) for an optimized crystal structure of PbO2F2.

Calculated values
* symmetry: P-1
* density: 4.993 g/cm³
* total magnetization: 1.98 μB/f.u.

a = 6.392 Å, b = 7.661 Å, c = 4.079 Å
α = 94.52°, β = 89.42°, γ = 67.93°
Last column: magnetic moment on the atom in μB.
Sites, in units of the cell vectors:
Pb  0.804  0.407  0.238  0.00
Pb  0.196  0.593  0.762  0.00
O  0.253  0.990  0.149  0.80
O  0.747  0.010  0.851  0.80
O  0.668  0.086  0.600  0.81
O  0.332  0.914  0.400  0.81
F  0.390  0.444  0.239  0.00
F  0.083  0.343  0.725  0.00
F  0.610  0.556  0.761  0.00
F  0.917  0.657  0.275  0.00

Q.
Density functional theory data (GGA-PBE) for an optimized crystal structure of PbO2F2.

Calculated values
* symmetry: P4/mmm
* density: 5.614 g/cm³
* D(E_F): 2.6 states/eV per cell
* total magnetization: 2.14 μB/f.u.

a = 4.465 Å, b = 4.465 Å, c = 4.113 Å
α = 90.00°, β = 90.00°, γ = 90.00°
Last column: magnetic moment on the atom in μB.
Sites, in units of the cell vectors:
Pb  0.000  0.000  0.000  -0.02
O  0.500  0.500  0.500  1.58
O  0.000  0.000  0.500  0.13
F  0.000  0.500  0.000  0.01
F  0.500  0.000  0.000  0.01

Stability check: which of them is least stable? Q.

P.
Density functional theory data (GGA-PBE) for an optimized crystal structure of PbOF3.

Calculated values
* symmetry: Pm-3m
* density: 5.152 g/cm³
* D(E_F): 25.7 states/eV per cell
* total magnetization: 2.03 μB/f.u.

a = 4.487 Å, b = 4.487 Å, c = 4.487 Å
α = 90.00°, β = 90.00°, γ = 90.00°
Last column: magnetic moment on the atom in μB.
Sites, in units of the cell vectors:
Pb  0.000  0.000  0.000  0.02
O  0.500  0.500  0.500  1.53
F  0.000  0.500  0.000  0.02
F  0.000  0.000  0.500  0.02
F  0.500  0.000  0.000  0.04

Q.
Density functional theory data (GGA-PBE) for an optimized crystal structure of PbOF3.

Calculated values
* symmetry: P2_1/m
* density: 5.188 g/cm³
* total magnetization: 1.00 μB/f.u.

a = 7.202 Å, b = 6.083 Å, c = 8.695 Å
α = 109.67°, β = 90.00°, γ = 90.00°
Last column: magnetic moment on the atom in μB.
Sites, in units of the cell vectors:
Pb  0.750  0.562  0.481  -0.03
Pb  0.250  0.438  0.519  -0.03
Pb  0.250  0.938  0.019  -0.03
Pb  0.750  0.062  0.981  -0.03
O  0.750  0.338  0.891  0.82
O  0.250  0.662  0.109  0.82
O  0.250  0.162  0.609  0.82
O  0.750  0.838  0.391  0.82
F  0.750  0.284  0.240  -0.01
F  0.250  0.716  0.760  -0.01
F  0.250  0.216  0.260  -0.01
F  0.750  0.784  0.740  -0.01
F  0.438  0.656  0.447  0.00
F  0.562  0.344  0.553  0.00
F  0.938  0.844  0.053  0.00
F  0.062  0.156  0.947  0.00
F  0.062  0.656  0.447  0.00
F  0.938  0.344  0.553  0.00
F  0.562  0.844  0.053  0.00
F  0.438  0.156  0.947  0.00

R.
Density functional theory data (GGA-PBE) for an optimized crystal structure of PbOF3.

Calculated values
* symmetry: Pm-3m
* density: 7.048 g/cm³
* D(E_F): 1.5 states/eV per cell
* total magnetization: 0.00 μB/f.u.

a = 4.041 Å, b = 4.041 Å, c = 4.041 Å
α = 90.00°, β = 90.00°, γ = 90.00°
Sites, in units of the cell vectors:
Pb  0.500  0.500  0.500
O  0.000  0.000  0.000
F  0.000  0.500  0.000
F  0.000  0.000  0.500
F  0.500  0.000  0.000

Stability check: which of them is least stable? R.

P.
Density functional theory data (GGA-PBE) for an optimized crystal structure of RbPbOF2.

Calculated values
* symmetry: P4/mmm
* density: 5.805 g/cm³
* D(E_F): 0.1 states/eV per cell
* total magnetization: 0.00 μB/f.u.

a = 4.806 Å, b = 4.806 Å, c = 4.293 Å
α = 90.00°, β = 90.00°, γ = 90.00°
Sites, in units of the cell vectors:
Pb  0.000  0.000  0.000
O  0.000  0.000  0.500
Rb  0.500  0.500  0.500
F  0.000  0.500  0.000
F  0.500  0.000  0.000

Q.
Density functional theory data (GGA-PBE) for an optimized crystal structure of RbPbOF2.

Calculated values
* symmetry: P4/mmm
* density: 5.472 g/cm³
* D(E_F): 0.5 states/eV per cell
* total magnetization: 0.00 μB/f.u.

a = 4.858 Å, b = 4.858 Å, c = 4.457 Å
α = 90.00°, β = 90.00°, γ = 90.00°
Sites, in units of the cell vectors:
Pb  0.500  0.500  0.500
O  0.000  0.000  0.500
Rb  0.000  0.000  0.000
F  0.000  0.500  0.000
F  0.500  0.000  0.000

Stability check: which of them is least stable? Q.